(1)
First-principles (PBE) data for a relaxed structure of Mg12Tl5Zn3, as listed in Alexandria.

Summary:
- Uncorrected energy: -118.54 eV/cell
- Density: 4.36 g cm⁻³
- Space group: No. 230
- Spin magnetization: 0.00 μB per formula unit
- ΔE_f: 258 meV/atom

Cell: 14.3999 14.3999 14.3999 Å, 109.47 109.47 109.47°
Fractional positions:
Mg1 0.4378 0.0748 0.3392
Mg2 0.0748 0.4378 0.8392
Mg3 0.7356 0.1370 0.0748
Mg4 0.8630 0.5986 0.9378
Mg5 0.5986 0.7356 0.6608
Mg6 0.1370 0.4014 0.0622
Mg7 0.4252 0.7644 0.8630
Mg8 0.4252 0.6608 0.0622
Mg9 0.6608 0.4252 0.5622
Mg10 0.9252 0.5622 0.1608
Mg11 0.4014 0.1370 0.5622
Mg12 0.5622 0.9252 0.6608
Mg13 0.0622 0.1608 0.4252
Mg14 0.0622 0.9014 0.1370
Mg15 0.1608 0.0622 0.9252
Mg16 0.0748 0.6370 0.7356
Mg17 0.4014 0.2644 0.3392
Mg18 0.3392 0.5748 0.4378
Mg19 0.5986 0.8630 0.4378
Mg20 0.1370 0.7356 0.5748
Mg21 0.6370 0.5622 0.9014
Mg22 0.0986 0.9378 0.3630
Mg23 0.7356 0.5986 0.1608
Mg24 0.1608 0.0986 0.7356
Mg25 0.9014 0.8392 0.7644
Mg26 0.2644 0.4014 0.8392
Mg27 0.5748 0.2356 0.1370
Mg28 0.9252 0.3630 0.2644
Mg29 0.7644 0.3392 0.9014
Mg30 0.8392 0.9014 0.2644
Mg31 0.0986 0.1608 0.2356
Mg32 0.5748 0.3392 0.9378
Mg33 0.7644 0.4252 0.3630
Mg34 0.2644 0.8630 0.9252
Mg35 0.6608 0.2356 0.5986
Mg36 0.3630 0.9252 0.7644
Mg37 0.8392 0.9378 0.0748
Mg38 0.9378 0.8392 0.5748
Mg39 0.4378 0.3630 0.5986
Mg40 0.2356 0.5748 0.6370
Mg41 0.3392 0.7644 0.4014
Mg42 0.6370 0.0748 0.2356
Mg43 0.5622 0.6370 0.4014
Mg44 0.3630 0.4378 0.0986
Mg45 0.8630 0.2644 0.4252
Mg46 0.2356 0.6608 0.0986
Mg47 0.9378 0.0986 0.8630
Mg48 0.9014 0.0622 0.6370
Tl1 0.6250 0.8750 0.2500
Tl2 0.0000 0.5000 0.0000
Tl3 0.3750 0.2500 0.1250
Tl4 0.0000 0.0000 0.5000
Tl5 0.5000 0.5000 0.0000
Tl6 0.7500 0.1250 0.8750
Tl7 0.1250 0.7500 0.3750
Tl8 0.2500 0.8750 0.1250
Tl9 0.0000 0.0000 0.0000
Tl10 0.5000 0.0000 0.5000
Tl11 0.5000 0.0000 0.0000
Tl12 0.5000 0.5000 0.5000
Tl13 0.7500 0.6250 0.3750
Tl14 0.1250 0.3750 0.2500
Tl15 0.6250 0.7500 0.8750
Tl16 0.8750 0.6250 0.7500
Tl17 0.3750 0.1250 0.7500
Tl18 0.0000 0.5000 0.5000
Tl19 0.8750 0.2500 0.6250
Tl20 0.2500 0.3750 0.6250
Zn1 0.6250 0.2500 0.3750
Zn2 0.2500 0.1250 0.3750
Zn3 0.7500 0.3750 0.1250
Zn4 0.3750 0.7500 0.6250
Zn5 0.8750 0.7500 0.1250
Zn6 0.8750 0.1250 0.2500
Zn7 0.3750 0.6250 0.2500
Zn8 0.6250 0.3750 0.7500
Zn9 0.2500 0.6250 0.8750
Zn10 0.7500 0.8750 0.6250
Zn11 0.1250 0.2500 0.8750
Zn12 0.1250 0.8750 0.7500

---

(2)
First-principles (PBE) data for a relaxed structure of Mg7TlZn2, as listed in Alexandria.

Summary:
- Uncorrected energy: -16.24 eV/cell
- Density: 3.74 g cm⁻³
- Space group: No. 139
- Spin magnetization: 0.00 μB per formula unit
- ΔE_f: -17 meV/atom

Cell: 4.6443 4.6443 10.9185 Å, 102.28 102.28 90.00°
Fractional positions:
Mg1 0.2500 0.7500 0.5000
Mg2 0.6018 0.1018 0.2036
Mg3 0.1018 0.6018 0.2036
Mg4 0.8982 0.3982 0.7964
Mg5 0.7500 0.2500 0.5000
Mg6 0.3982 0.8982 0.7964
Mg7 0.5000 0.5000 0.0000
Tl1 0.0000 0.0000 0.0000
Zn1 0.3276 0.3276 0.6552
Zn2 0.6724 0.6724 0.3448

---

(3)
First-principles (PBE) data for a relaxed structure of Mg16TlZn12, as listed in Alexandria.

Summary:
- Uncorrected energy: -44.93 eV/cell
- Density: 4.12 g cm⁻³
- Space group: No. 8
- Spin magnetization: 0.00 μB per formula unit
- ΔE_f: -61 meV/atom

Cell: 8.6761 8.6761 9.5420 Å, 110.83 110.83 106.23°
Fractional positions:
Mg1 0.3894 0.9951 0.6866
Mg2 0.6356 0.0068 0.0079
Mg3 0.7364 0.3419 0.3346
Mg4 0.0064 0.7141 0.3787
Mg5 0.3467 0.3467 0.3270
Mg6 0.9951 0.3894 0.6866
Mg7 0.3419 0.7364 0.3346
Mg8 0.0009 0.0009 0.0016
Mg9 0.5909 0.2643 0.5898
Mg10 0.2866 0.2866 0.6758
Mg11 0.0068 0.6356 0.0079
Mg12 0.7141 0.0064 0.3787
Mg13 0.6602 0.4043 0.9973
Mg14 0.4043 0.6602 0.9973
Mg15 0.2643 0.5909 0.5898
Mg16 0.9913 0.9913 0.6839
Zn1 0.3819 0.9985 0.1799
Zn2 0.6200 0.6200 0.8199
Zn3 0.1707 0.3592 0.9953
Zn4 0.8225 0.6288 0.6698
Zn5 0.9985 0.3819 0.1799
Zn6 0.8246 0.8246 0.1490
Zn7 0.6288 0.8225 0.6698
Zn8 0.1818 0.8026 0.8234
Zn9 0.8026 0.1818 0.8234
Zn10 0.1998 0.0062 0.3454
Zn11 0.0062 0.1998 0.3454
Zn12 0.3592 0.1707 0.9953
Tl1 0.6325 0.6325 0.3257

---

(4)
First-principles (PBE) data for a relaxed structure of Mg5TlZn, as listed in Alexandria.

Summary:
- Uncorrected energy: -22.36 eV/cell
- Density: 3.93 g cm⁻³
- Offset from the most stable computed form: 0.43 eV per formula unit
- Space group: No. 15
- Spin magnetization: 0.00 μB per formula unit
- ΔE_f: 62 meV/atom

Cell: 8.8900 8.8900 7.2713 Å, 53.95 53.95 87.96°
Fractional positions:
Zn1 0.5644 0.4356 0.2500
Zn2 0.4356 0.5644 0.7500
Mg1 0.2156 0.7844 0.7500
Mg2 0.7844 0.2156 0.2500
Mg3 0.2457 0.4738 0.6175
Mg4 0.4738 0.2457 0.1175
Mg5 0.0767 0.3771 0.3981
Mg6 0.9233 0.6229 0.6019
Mg7 0.5262 0.7543 0.8825
Mg8 0.3771 0.0767 0.8981
Mg9 0.7543 0.5262 0.3825
Mg10 0.6229 0.9233 0.1019
Tl1 0.0000 0.0000 0.0000
Tl2 0.0000 0.0000 0.5000

---

(5)
First-principles (PBE) data for a relaxed structure of MgTl3Zn, as listed in Alexandria.

Summary:
- Uncorrected energy: -8.58 eV/cell
- Density: 7.45 g cm⁻³
- Offset from the most stable computed form: 0.00 eV per formula unit
- Space group: No. 221
- Spin magnetization: 0.00 μB per formula unit
- ΔE_f: 277 meV/atom

Cell: 5.3915 5.3915 5.3915 Å, 90.00 90.00 90.00°
Fractional positions:
Tl1 0.0000 0.0000 0.5000
Tl2 0.5000 0.0000 0.0000
Tl3 0.0000 0.5000 0.0000
Mg1 0.5000 0.5000 0.5000
Zn1 0.0000 0.0000 0.0000

---

(6)
First-principles (PBE) data for a relaxed structure of Mg7Tl2Zn, as listed in Alexandria.

Summary:
- Uncorrected energy: -14.40 eV/cell
- Density: 3.75 g cm⁻³
- Offset from the most stable computed form: 2.70 eV per formula unit
- Space group: No. 225
- Spin magnetization: 0.00 μB per formula unit
- ΔE_f: 277 meV/atom

Cell: 7.3873 7.3873 7.3873 Å, 60.00 60.00 60.00°
Fractional positions:
Mg1 0.2402 0.7598 0.2402
Mg2 0.5000 0.5000 0.5000
Mg3 0.7598 0.2402 0.2402
Mg4 0.7598 0.2402 0.7598
Mg5 0.2402 0.2402 0.7598
Mg6 0.2402 0.7598 0.7598
Mg7 0.7598 0.7598 0.2402
Tl1 0.7500 0.7500 0.7500
Tl2 0.2500 0.2500 0.2500
Zn1 0.0000 0.0000 0.0000

---

(7)
First-principles (PBE) data for a relaxed structure of MgTlZn17, as listed in Alexandria.

Summary:
- Uncorrected energy: -24.98 eV/cell
- Density: 7.03 g cm⁻³
- Space group: No. 160
- Spin magnetization: 0.00 μB per formula unit
- ΔE_f: 34 meV/atom

Cell: 6.8601 6.8601 6.8601 Å, 83.18 83.18 83.18°
Fractional positions:
Zn1 0.9006 0.9006 0.9006
Zn2 0.0003 0.4997 0.0003
Zn3 0.6450 0.6450 0.1638
Zn4 0.4997 0.0003 0.0003
Zn5 0.6972 0.0037 0.3001
Zn6 0.6450 0.1638 0.6450
Zn7 0.8490 0.3472 0.3472
Zn8 0.1070 0.1070 0.1070
Zn9 0.0003 0.0003 0.4997
Zn10 0.1638 0.6450 0.6450
Zn11 0.3472 0.8490 0.3472
Zn12 0.6972 0.3001 0.0037
Zn13 0.3001 0.0037 0.6972
Zn14 0.0037 0.6972 0.3001
Zn15 0.3472 0.3472 0.8490
Zn16 0.3001 0.6972 0.0037
Zn17 0.0037 0.3001 0.6972
Mg1 0.3394 0.3394 0.3394
Tl1 0.6534 0.6534 0.6534

---

(8)
First-principles (PBE) data for a relaxed structure of Mg5Tl2Zn, as listed in Alexandria.

Summary:
- Uncorrected energy: -13.99 eV/cell
- Density: 5.46 g cm⁻³
- Offset from the most stable computed form: 0.00 eV per formula unit
- Space group: No. 139
- Spin magnetization: 0.00 μB per formula unit
- ΔE_f: -1 meV/atom

Cell: 4.8774 4.8774 8.3659 Å, 106.95 106.95 90.00°
Fractional positions:
Mg1 0.5000 0.5000 0.0000
Mg2 0.3845 0.8845 0.7690
Mg3 0.1155 0.6155 0.2310
Mg4 0.6155 0.1155 0.2310
Mg5 0.8845 0.3845 0.7690
Zn1 0.0000 0.0000 0.0000
Tl1 0.7481 0.7481 0.4962
Tl2 0.2519 0.2519 0.5038

---

(9)
First-principles (PBE) data for a relaxed structure of MgTl2Zn, as listed in Alexandria.

Summary:
- Uncorrected energy: -7.20 eV/cell
- Density: 8.46 g cm⁻³
- Offset from the most stable computed form: 0.22 eV per formula unit
- Space group: No. 225
- Spin magnetization: 0.00 μB per formula unit
- ΔE_f: 101 meV/atom

Cell: 5.1726 5.1726 5.1726 Å, 60.00 60.00 60.00°
Fractional positions:
Zn1 0.5000 0.5000 0.5000
Tl1 0.2500 0.2500 0.2500
Tl2 0.7500 0.7500 0.7500
Mg1 0.0000 0.0000 0.0000

---

(10)
First-principles (PBE) data for a relaxed structure of Mg3TlZn2, as listed in Alexandria.

Summary:
- Uncorrected energy: -9.97 eV/cell
- Density: 5.54 g cm⁻³
- Space group: No. 123
- Spin magnetization: 0.00 μB per formula unit
- ΔE_f: -45 meV/atom

Cell: 3.5009 3.5009 9.9730 Å, 90.00 90.00 90.00°
Fractional positions:
Mg1 0.0000 0.0000 0.3055
Mg2 0.0000 0.0000 0.0000
Mg3 0.0000 0.0000 0.6945
Zn1 0.5000 0.5000 0.1493
Zn2 0.5000 0.5000 0.8507
Tl1 0.5000 0.5000 0.5000

---

(11)
First-principles (PBE) data for a relaxed structure of Mg14TlZn, as listed in Alexandria.

Summary:
- Uncorrected energy: -26.01 eV/cell
- Density: 2.82 g cm⁻³
- Space group: No. 65
- Spin magnetization: 0.00 μB per formula unit
- ΔE_f: -3 meV/atom

Cell: 6.4958 6.4958 8.5202 Å, 90.00 90.00 90.06°
Fractional positions:
Tl1 0.8750 0.8750 0.5000
Mg1 0.1314 0.6186 0.2558
Mg2 0.3750 0.8750 0.5000
Mg3 0.6185 0.6185 0.2558
Mg4 0.6185 0.6185 0.7442
Mg5 0.3750 0.3750 0.0000
Mg6 0.3750 0.8750 0.0000
Mg7 0.1315 0.1315 0.7442
Mg8 0.1315 0.1315 0.2558
Mg9 0.8750 0.3750 0.5000
Mg10 0.6186 0.1314 0.7442
Mg11 0.6186 0.1314 0.2558
Mg12 0.8750 0.8750 0.0000
Mg13 0.8750 0.3750 0.0000
Mg14 0.1314 0.6186 0.7442
Zn1 0.3750 0.3750 0.5000

---

(12)
First-principles (PBE) data for a relaxed structure of MgTl2Zn, as listed in Alexandria.

Summary:
- Uncorrected energy: -7.22 eV/cell
- Density: 8.33 g cm⁻³
- Offset from the most stable computed form: 0.20 eV per formula unit
- Space group: No. 71
- Spin magnetization: 0.00 μB per formula unit
- ΔE_f: 96 meV/atom

Cell: 5.8095 5.8095 5.8095 Å, 141.33 124.38 69.80°
Fractional positions:
Mg1 0.2500 0.7500 0.5000
Zn1 0.7500 0.2500 0.5000
Tl1 0.5150 0.5150 0.0000
Tl2 0.9850 0.9850 0.0000

---

(13)
First-principles (PBE) data for a relaxed structure of Mg7Tl2Zn, as listed in Alexandria.

Summary:
- Uncorrected energy: -17.10 eV/cell
- Density: 4.49 g cm⁻³
- Offset from the most stable computed form: 0.00 eV per formula unit
- Space group: No. 156
- Spin magnetization: 0.00 μB per formula unit
- ΔE_f: 7 meV/atom

Cell: 4.8161 4.8161 11.8654 Å, 90.00 90.00 120.00°
Fractional positions:
Mg1 0.3333 0.6667 0.4081
Mg2 0.0000 0.0000 0.7499
Mg3 0.3333 0.6667 0.1408
Mg4 0.0000 0.0000 0.2365
Mg5 0.6667 0.3333 0.5704
Mg6 0.6667 0.3333 0.0282
Mg7 0.3333 0.6667 0.8944
Tl1 0.6667 0.3333 0.3098
Tl2 0.3333 0.6667 0.6520
Zn1 0.0000 0.0000 0.9933

---

(14)
First-principles (PBE) data for a relaxed structure of Mg2TlZn, as listed in Alexandria.

Summary:
- Uncorrected energy: -6.82 eV/cell
- Density: 6.00 g cm⁻³
- Space group: No. 8
- Spin magnetization: 0.00 μB per formula unit
- ΔE_f: 3 meV/atom

Cell: 5.5320 5.5320 4.9906 Å, 74.89 74.89 36.88°
Fractional positions:
Zn1 0.2477 0.2477 0.2025
Mg1 0.9837 0.9837 0.0492
Mg2 0.7559 0.7559 0.7238
Tl1 0.5128 0.5128 0.5245

---

(15)
First-principles (PBE) data for a relaxed structure of Mg6Tl5Zn, as listed in Alexandria.

Summary:
- Uncorrected energy: -23.00 eV/cell
- Density: 7.15 g cm⁻³
- Space group: No. 10
- Spin magnetization: 0.00 μB per formula unit
- ΔE_f: -27 meV/atom

Cell: 5.1459 7.0872 8.2172 Å, 90.00 107.24 90.00°
Fractional positions:
Tl1 0.0000 0.5000 0.0000
Tl2 0.3298 0.0000 0.6604
Tl3 0.6717 0.5000 0.3405
Tl4 0.3283 0.5000 0.6595
Tl5 0.6702 0.0000 0.3396
Mg1 0.1576 0.2399 0.3129
Mg2 0.8424 0.7601 0.6871
Mg3 0.5000 0.7666 0.0000
Mg4 0.8424 0.2399 0.6871
Mg5 0.5000 0.2334 0.0000
Mg6 0.1576 0.7601 0.3129
Zn1 0.0000 0.0000 0.0000

---

(16)
First-principles (PBE) data for a relaxed structure of MgTl2Zn, as listed in Alexandria.

Summary:
- Uncorrected energy: -7.14 eV/cell
- Density: 8.23 g cm⁻³
- Offset from the most stable computed form: 0.28 eV per formula unit
- Space group: No. 65
- Spin magnetization: 0.00 μB per formula unit
- ΔE_f: 115 meV/atom

Cell: 3.3242 3.3242 9.5601 Å, 90.00 90.00 107.87°
Fractional positions:
Tl1 0.0000 0.0000 0.0132
Tl2 0.0000 0.0000 0.4868
Mg1 0.5000 0.5000 0.7500
Zn1 0.5000 0.5000 0.2500

---

(17)
First-principles (PBE) data for a relaxed structure of MgTl2Zn, as listed in Alexandria.

Summary:
- Uncorrected energy: -7.19 eV/cell
- Density: 8.28 g cm⁻³
- Offset from the most stable computed form: 0.22 eV per formula unit
- Space group: No. 47
- Spin magnetization: 0.00 μB per formula unit
- ΔE_f: 102 meV/atom

Cell: 3.6793 5.5718 4.8776 Å, 90.00 90.00 90.00°
Fractional positions:
Zn1 0.5000 0.0000 0.5000
Tl1 0.5000 0.5000 0.0000
Tl2 0.0000 0.0000 0.0000
Mg1 0.0000 0.5000 0.5000

---

(18)
First-principles (PBE) data for a relaxed structure of MgTl2Zn2, as listed in Alexandria.

Summary:
- Uncorrected energy: -15.85 eV/cell
- Density: 7.77 g cm⁻³
- Offset from the most stable computed form: 0.46 eV per formula unit
- Space group: No. 127
- Spin magnetization: 0.00 μB per formula unit
- ΔE_f: 190 meV/atom

Cell: 8.2330 8.2330 3.5565 Å, 90.00 90.00 90.00°
Fractional positions:
Zn1 0.8568 0.3568 0.5000
Zn2 0.1432 0.6432 0.5000
Zn3 0.6432 0.8568 0.5000
Zn4 0.3568 0.1432 0.5000
Mg1 0.5000 0.5000 0.0000
Mg2 0.0000 0.0000 0.0000
Tl1 0.1558 0.3442 0.0000
Tl2 0.3442 0.8442 0.0000
Tl3 0.8442 0.6558 0.0000
Tl4 0.6558 0.1558 0.0000

---

(19)
First-principles (PBE) data for a relaxed structure of Mg2TlZn, as listed in Alexandria.

Summary:
- Uncorrected energy: -6.80 eV/cell
- Density: 5.89 g cm⁻³
- Space group: No. 8
- Spin magnetization: 0.00 μB per formula unit
- ΔE_f: 7 meV/atom

Cell: 3.3070 3.3070 9.6162 Å, 79.90 79.90 60.61°
Fractional positions:
Mg1 0.2560 0.2560 0.2228
Mg2 0.0761 0.0761 0.7780
Tl1 0.5027 0.5027 0.5003
Zn1 0.6652 0.6652 0.9990